Entry from the Alexandria database: crystalline ThTl2AuSe4 at its relaxed geometry (PBE).

Output
E = -4.4357 eV/atom
calculated volume = 29.9 Å³/atom
D(E_F) = 0.273 states/eV per atom
ΔE_f (raw) = -0.765 eV/atom

Cell: 7.390 4.118 8.479 Å, 90.00 111.86 90.00°
Space group P2/m (No. 10)
Symmetry-distinct sites (fractional):
Th (0.000, 0.000, 0.000)
Tl (0.000, 0.500, 0.500)
Tl (0.500, 0.000, 0.500)
Au (0.500, 0.500, 0.000)
Se (0.209, 0.500, 0.232)
Se (0.291, 0.000, 0.823)